NdPaNb | PBE | optimized geometry

Output
ρ: 9126 kg/m3
energy of formation: 72 kJ/mol of atoms
distance to the lowest polymorph of the same formula: 0 meV/atom

Cell: 4.9389 4.9389 4.9389 Å, 60.00 60.00 60.00°
With the nearest neighbours (Å) after each atom.
Fractional positions:
Nb (0.0000, 0.0000, 0.0000)  4 Nd 3.02, 4 Pa 3.02
Nd (0.2500, 0.2500, 0.2500)  4 Nb 3.02
Pa (0.7500, 0.7500, 0.7500)  4 Nb 3.02



Dy4NiBr5 | PBE | optimized geometry

Output
ρ: 6176 kg/m3
calculated total energy: -4.589 eV per atom

Cell: 9.4411 9.4411 8.4257 Å, 102.41 102.41 24.00°
With the nearest neighbours (Å) after each atom.
Fractional positions:
Br (0.8224, 0.8224, 0.1602)  4 Dy 2.95-3.23
Br (0.1678, 0.1678, 0.3366)  3 Dy 2.90-3.03
Br (0.5000, 0.5000, 0.5000)  4 Dy 3.12
Br (0.8322, 0.8322, 0.6634)  3 Dy 2.90-3.03
Br (0.1776, 0.1776, 0.8398)  4 Dy 2.95-3.23
Dy (0.6459, 0.6459, 0.0775)  1 Ni 2.63, 2 Br 2.90
Dy (0.0007, 0.0007, 0.2123)  2 Ni 2.65
Dy (0.9993, 0.9993, 0.7877)  2 Ni 2.65
Dy (0.3541, 0.3541, 0.9225)  1 Ni 2.63, 2 Br 2.90
Ni (0.5000, 0.5000, 0.0000)  6 Dy 2.63-2.65



TbZnNO | PBE | optimized geometry

Output
ρ: 7262 kg/m3
distance to the lowest polymorph of the same formula: 0 meV/atom

Cell: 5.5949 5.6191 7.4000 Å, 90.00 90.00 90.00°
With the nearest neighbours (Å) after each atom.
Fractional positions:
N (0.3808, 0.3290, 0.1285)  3 Zn 1.95-1.99
N (0.1192, 0.8290, 0.1285)  3 Zn 1.95-1.99
N (0.8808, 0.3290, 0.8715)  3 Zn 1.95-1.99
N (0.6192, 0.8290, 0.8715)  3 Zn 1.95-1.99
O (0.7546, 0.3643, 0.4653)  4 Tb 2.19-2.31
O (0.7454, 0.8643, 0.4653)  4 Tb 2.19-2.31
O (0.2546, 0.3643, 0.5347)  4 Tb 2.19-2.31
O (0.2454, 0.8643, 0.5347)  4 Tb 2.19-2.31
Tb (0.0382, 0.1013, 0.3593)  4 O 2.19-2.31, 1 N 2.34
Tb (0.4618, 0.6013, 0.3593)  4 O 2.19-2.31, 1 N 2.34
Tb (0.5382, 0.1013, 0.6407)  4 O 2.19-2.31, 1 N 2.34
Tb (0.9618, 0.6013, 0.6407)  4 O 2.19-2.31, 1 N 2.34
Zn (0.4060, 0.0030, 0.0394)  3 N 1.95-1.99
Zn (0.0940, 0.5030, 0.0394)  3 N 1.95-1.99
Zn (0.9060, 0.0030, 0.9606)  3 N 1.95-1.99
Zn (0.5940, 0.5030, 0.9606)  3 N 1.95-1.99



CsDyYSe3 | PBE | optimized geometry

Output
ρ: 4953 kg/m3
distance to the lowest polymorph of the same formula: 0 meV/atom

Cell: 8.5023 8.5023 11.2201 Å, 90.00 90.00 149.10°
With the nearest neighbours (Å) after each atom.
Fractional positions:
Cs (0.2372, 0.7628, 0.2500)  8 Se 3.71-4.05
Cs (0.7628, 0.2372, 0.7500)  8 Se 3.71-4.05
Dy (0.9659, 0.0341, 0.2500)  4 Se 2.70-2.72
Dy (0.0341, 0.9659, 0.7500)  4 Se 2.70-2.72
Se (0.8835, 0.1165, 0.0411)  1 Dy 2.70, 2 Y 3.00
Se (0.5578, 0.4422, 0.2500)  2 Dy 2.72, 2 Y 2.96
Se (0.8835, 0.1165, 0.4589)  1 Dy 2.70, 2 Y 3.00
Se (0.1165, 0.8835, 0.5411)  1 Dy 2.70, 2 Y 3.00
Se (0.4422, 0.5578, 0.7500)  2 Dy 2.72, 2 Y 2.96
Se (0.1165, 0.8835, 0.9589)  1 Dy 2.70, 2 Y 3.00
Y (0.5000, 0.5000, 0.0000)  6 Se 2.96-3.00
Y (0.5000, 0.5000, 0.5000)  6 Se 2.96-3.00



Li2YIn2AgAu2 | PBE | optimized geometry

Output
ρ: 8857 kg/m3
calculated total energy: -3.593 eV per atom

Cell: 4.7957 4.7957 6.8002 Å, 90.00 90.00 90.00°
With the nearest neighbours (Å) after each atom.
Fractional positions:
Ag (0.0000, 0.0000, 0.5000)  4 Li 2.76, 4 Au 2.93
Au (0.5000, 0.0000, 0.2512)  4 In 2.93-2.94, 2 Ag 2.93, 2 Y 2.94, 1 Li 3.05
Au (0.0000, 0.5000, 0.7488)  4 In 2.93-2.94, 2 Ag 2.93, 2 Y 2.94, 1 Li 3.05
In (0.0000, 0.0000, 0.0000)  4 Au 2.94, 4 Li 3.15
In (0.5000, 0.5000, 0.5000)  4 Li 2.76, 4 Au 2.93
Li (0.0000, 0.5000, 0.3002)  2 In 2.76, 2 Ag 2.76, 1 Au 3.05
Li (0.5000, 0.0000, 0.6998)  2 In 2.76, 2 Ag 2.76, 1 Au 3.05
Y (0.5000, 0.5000, 0.0000)  4 Au 2.94, 4 Li 3.15



LuZnCoAg | PBE | optimized geometry

Output
ρ: 9976 kg/m3
energy of formation: -8 kJ/mol of atoms
distance to the lowest polymorph of the same formula: 0 meV/atom

Cell: 4.5764 4.5764 4.5764 Å, 60.00 60.00 60.00°
With the nearest neighbours (Å) after each atom.
Fractional positions:
Ag (0.2500, 0.2500, 0.2500)  4 Lu 2.80, 4 Zn 2.80
Co (0.7500, 0.7500, 0.7500)  4 Zn 2.80, 4 Lu 2.80
Lu (0.5000, 0.5000, 0.5000)  4 Ag 2.80, 4 Co 2.80
Zn (0.0000, 0.0000, 0.0000)  4 Co 2.80, 4 Ag 2.80



Rb2AgSnF6 | PBE | optimized geometry

Output
ρ: 4925 kg/m3
calculated total energy: -4.250 eV per atom

Cell: 6.2867 6.2867 6.2867 Å, 121.18 121.18 87.97°
With the nearest neighbours (Å) after each atom.
Fractional positions:
Ag (0.5000, 0.5000, 0.0000)  6 F 2.34-2.37
F (0.2379, 0.2379, 0.0000)  1 Sn 2.15, 1 Ag 2.37
F (0.7621, 0.7621, 0.0000)  1 Sn 2.15, 1 Ag 2.37
F (0.2949, 0.8184, 0.1134)  1 Sn 2.14, 1 Ag 2.34
F (0.1816, 0.2949, 0.4765)  1 Sn 2.14, 1 Ag 2.34
F (0.8184, 0.7051, 0.5235)  1 Sn 2.14, 1 Ag 2.34
F (0.7051, 0.1816, 0.8866)  1 Sn 2.14, 1 Ag 2.34
Rb (0.7500, 0.2500, 0.5000)  8 F 2.82-3.09
Rb (0.2500, 0.7500, 0.5000)  8 F 2.82-3.09
Sn (0.0000, 0.0000, 0.0000)  6 F 2.14-2.15



AcNbCo | PBE | optimized geometry

Output
ρ: 9200 kg/m3
energy of formation: 144 kJ/mol of atoms
distance to the lowest polymorph of the same formula: 1259 meV/atom

Cell: 4.5899 4.5899 4.5899 Å, 60.00 60.00 60.00°
With the nearest neighbours (Å) after each atom.
Fractional positions:
Ac (0.0000, 0.0000, 0.0000)  4 Co 2.81, 4 Nb 2.81
Co (0.2500, 0.2500, 0.2500)  4 Ac 2.81
Nb (0.7500, 0.7500, 0.7500)  4 Ac 2.81